! CoHRh2 (GGA-PBE, relaxed); values from VASP
! Calculated density (kg/m³): 10360
! Excess energy over the best structure of this formula in the dataset (eV/atom): 0.015
! E (eV per formula unit): -24.91
! SG: R-3m (166)
&SYSTEM
  ibrav = 0, nat = 4, ntyp = 3
/
ATOMIC_SPECIES
Co 58.93 Co.upf
Rh 102.91 Rh.upf
H 1.01 H.upf
CELL_PARAMETERS angstrom
2.736 0.000 0.000
1.368 2.369 0.000
1.368 0.790 6.573
ATOMIC_POSITIONS crystal
Co 0.500 0.500 0.500
Rh 0.729 0.729 0.813
Rh 0.271 0.271 0.187
H 0.000 0.000 0.000